Computed, not measured: a geometry-optimized Fe6Pd12N structure at the PBE level of DFT. Values from VASP.

```
&SYSTEM
  ibrav = 0, nat = 19, ntyp = 3
/
ATOMIC_SPECIES
Pd 106.42 Pd.upf
N 14.01 N.upf
Fe 55.84 Fe.upf
CELL_PARAMETERS angstrom
0.412 4.893 4.362
-4.682 -1.594 4.321
3.467 -2.753 4.852
ATOMIC_POSITIONS angstrom
Pd 1.078 -0.868 3.498
Pd -1.593 1.216 5.547
Pd -1.881 1.415 10.037
Pd 0.789 -0.670 7.987
Pd -1.712 -0.471 3.316
Pd 0.908 1.018 10.218
Pd -1.953 -0.280 7.808
Pd -0.836 -1.203 10.204
Pd 1.149 0.826 5.726
Pd -0.239 1.903 7.822
Pd -0.565 -1.357 5.712
Pd 0.032 1.749 3.330
N 0.000 0.000 0.000
Fe -0.917 -2.819 7.926
Fe 0.113 3.366 5.608
Fe -2.950 2.269 7.600
Fe 2.147 -1.723 5.934
Fe -3.277 -0.952 5.581
Fe 2.473 1.498 7.953
```

## Properties
Crystal system   trigonal
Calculated density   10.13 Mg/m³
Final energy   -122.51 eV per cell
ΔE_f (raw)   -58 meV per atom

Computed, not measured: a geometry-optimized FePd2N structure at the PBE level of DFT. Values from VASP.

```
&SYSTEM
  ibrav = 0, nat = 8, ntyp = 3
/
ATOMIC_SPECIES
Pd 106.42 Pd.upf
N 14.01 N.upf
Fe 55.84 Fe.upf
CELL_PARAMETERS angstrom
-4.659 -0.538 1.201
1.277 -2.919 3.644
-1.317 2.755 5.884
ATOMIC_POSITIONS angstrom
Pd -4.075 -0.665 8.285
Pd -2.611 0.042 2.556
Pd -2.127 0.475 6.597
Pd -0.583 -1.257 4.020
N -0.865 -0.947 5.975
N -1.691 -1.729 2.423
Fe -3.833 0.244 4.754
Fe 0.000 0.000 0.000
```

## Properties
Crystal system   tetragonal
Calculated density   7.06 Mg/m³
Final energy   -47.50 eV per cell
ΔE_f (raw)   855 meV per atom

Magnetization across the listed records, respectively: 21.71; 3.87 μB/f.u..